First-principles (GGA-PBE) data for Tb8CeHo4 after structural relaxation, as listed in the Alexandria database.

POSCAR file:
```
Tb8CeHo4
1.0
6.405 0.000 -3.456
-4.135 5.989 0.000
1.138 0.787 9.774
Tb Ho Ce
8 4 1
Direct
0.945 0.200 0.690
0.490 0.745 0.690
0.441 0.221 0.662
0.510 0.255 0.310
0.945 0.745 0.690
0.055 0.800 0.310
0.055 0.255 0.310
0.559 0.779 0.338
0.500 0.500 0.000
0.500 0.000 0.000
0.000 0.500 0.000
0.000 0.000 0.000
0.000 0.500 0.500
```

## Properties
**Energy of formation**: 161 meV/atom

---

First-principles (GGA-PBE) data for TbCe4Ho after structural relaxation, as listed in the Alexandria database.

POSCAR file:
```
TbCe4Ho
1.0
-2.815 -3.510 -4.425
-3.325 -5.101 1.660
-6.289 0.026 -0.520
Ce Ho Tb
4 1 1
Direct
0.627 0.627 0.627
0.627 0.627 0.120
0.120 0.627 0.627
0.627 0.120 0.627
0.000 0.000 0.000
0.250 0.250 0.250
```

## Properties
**Energy of formation**: 209 meV/atom

---

First-principles (GGA-PBE) data for Tb6CeHo12 after structural relaxation, as listed in the Alexandria database.

POSCAR file:
```
Tb6CeHo12
1.0
-0.441 5.138 -6.729
-6.883 3.845 3.116
4.758 5.845 3.881
Ho Tb Ce
12 6 1
Direct
0.542 0.438 0.775
0.225 0.458 0.562
0.775 0.542 0.438
0.988 0.795 0.647
0.562 0.225 0.458
0.647 0.988 0.795
0.438 0.775 0.542
0.458 0.562 0.225
0.353 0.012 0.205
0.205 0.353 0.012
0.795 0.647 0.988
0.012 0.205 0.353
0.909 0.308 0.743
0.257 0.091 0.692
0.743 0.909 0.308
0.692 0.257 0.091
0.308 0.743 0.909
0.091 0.692 0.257
0.000 0.000 0.000
```

## Properties
**Relative energy among the computed polymorphs**: 0.000 eV per atom
**Energy of formation**: 156 meV/atom

---

First-principles (GGA-PBE) data for Tb4CeHo7 after structural relaxation, as listed in the Alexandria database.

POSCAR file:
```
Tb4CeHo7
1.0
-4.800 -2.649 -2.280
-1.356 -3.899 -8.063
4.563 -8.858 0.588
Ce Tb Ho
1 4 7
Direct
0.000 0.000 0.000
0.660 0.594 0.273
0.340 0.406 0.727
0.880 0.867 0.727
0.120 0.133 0.273
0.289 0.461 0.079
0.471 0.285 0.429
0.529 0.715 0.571
0.935 0.813 0.374
0.500 0.000 0.000
0.711 0.539 0.921
0.065 0.187 0.626
```

## Properties
**Relative energy among the computed polymorphs**: 0.000 eV per atom
**Energy of formation**: 150 meV/atom

---

First-principles (GGA-PBE) data for Tb3CeHo3 after structural relaxation, as listed in the Alexandria database.

POSCAR file:
```
Tb3CeHo3
1.0
5.845 0.000 1.878
2.621 5.225 1.878
-1.441 -0.889 14.516
Tb Ce Ho
6 2 6
Direct
0.867 0.535 0.398
0.133 0.465 0.602
0.800 0.133 0.602
0.200 0.867 0.398
0.465 0.800 0.602
0.535 0.200 0.398
0.333 0.333 0.000
0.667 0.667 0.000
0.934 0.267 0.198
0.600 0.934 0.198
0.066 0.733 0.802
0.267 0.600 0.198
0.400 0.066 0.802
0.733 0.400 0.802
```

## Properties
**Energy of formation**: 182 meV/atom

---

First-principles (GGA-PBE) data for Tb6CeHo12 after structural relaxation, as listed in the Alexandria database.

POSCAR file:
```
Tb6CeHo12
1.0
-7.802 0.729 -3.665
-1.260 -7.292 4.481
-0.947 5.734 6.407
Ho Tb Ce
12 6 1
Direct
0.352 0.352 0.079
0.500 0.757 0.243
0.757 0.500 0.243
0.243 0.500 0.757
0.648 0.648 0.921
0.648 0.921 0.648
0.079 0.352 0.352
0.757 0.243 0.500
0.921 0.648 0.648
0.352 0.079 0.352
0.500 0.243 0.757
0.243 0.757 0.500
0.898 0.340 0.898
0.102 0.102 0.660
0.660 0.102 0.102
0.340 0.898 0.898
0.102 0.660 0.102
0.898 0.898 0.340
0.000 0.000 0.000
```

## Properties
**Relative energy among the computed polymorphs**: 0.059 eV per atom
**Energy of formation**: 216 meV/atom

---

First-principles (GGA-PBE) data for Tb4CeHo15 after structural relaxation, as listed in the Alexandria database.

POSCAR file:
```
Tb4CeHo15
1.0
4.999 0.000 0.000
0.000 4.999 0.000
0.000 0.000 24.936
Ho Tb Ce
15 4 1
Direct
0.500 0.000 0.901
0.500 0.500 0.000
0.500 0.500 0.400
0.000 0.500 0.099
0.000 0.500 0.300
0.500 0.500 0.201
0.000 0.500 0.700
0.500 0.000 0.099
0.500 0.000 0.500
0.000 0.500 0.901
0.500 0.000 0.700
0.500 0.000 0.300
0.500 0.500 0.799
0.000 0.500 0.500
0.500 0.500 0.600
0.000 0.000 0.199
0.000 0.000 0.400
0.000 0.000 0.801
0.000 0.000 0.600
0.000 0.000 0.000
```

## Properties
**Energy of formation**: 29 meV/atom

---

First-principles (GGA-PBE) data for Tb4CeHo4 after structural relaxation, as listed in the Alexandria database.

POSCAR file:
```
Tb4CeHo4
1.0
4.754 0.000 1.610
2.377 7.502 0.805
-0.029 0.000 7.911
Ho Tb Ce
4 4 1
Direct
0.665 0.669 0.000
0.335 0.000 0.331
0.335 0.331 0.000
0.665 0.000 0.669
0.000 0.332 0.668
0.668 0.332 0.332
0.000 0.668 0.332
0.332 0.668 0.668
0.000 0.000 0.000
```

## Properties
**Energy of formation**: 41 meV/atom

---

First-principles (GGA-PBE) data for Tb3CeHo6 after structural relaxation, as listed in the Alexandria database.

POSCAR file:
```
Tb3CeHo6
1.0
5.824 0.000 2.798
2.974 7.118 1.270
-0.261 -1.982 8.002
Tb Ce Ho
3 1 6
Direct
0.000 0.000 0.000
0.774 0.720 0.733
0.226 0.280 0.267
0.500 0.500 0.500
0.744 0.465 0.048
0.684 0.819 0.325
0.256 0.535 0.952
0.172 0.819 0.325
0.828 0.181 0.675
0.316 0.181 0.675
```

## Properties
**Relative energy among the computed polymorphs**: 0.187 eV per atom
**Energy of formation**: 349 meV/atom

---

First-principles (GGA-PBE) data for Tb2CeHo9 after structural relaxation, as listed in the Alexandria database.

POSCAR file:
```
Tb2CeHo9
1.0
-3.373 3.506 -1.121
-2.865 -3.456 -2.186
-6.928 -2.499 13.032
Ho Ce Tb
9 1 2
Direct
0.500 0.000 0.500
0.500 0.500 0.000
0.000 0.500 0.165
0.500 0.500 0.666
0.500 0.500 0.334
0.500 0.000 0.165
0.000 0.500 0.500
0.500 0.000 0.835
0.000 0.500 0.835
0.000 0.000 0.000
0.000 0.000 0.332
0.000 0.000 0.668
```

## Properties
**Energy of formation**: 35 meV/atom

---

First-principles (GGA-PBE) data for TbCeHo6 after structural relaxation, as listed in the Alexandria database.

POSCAR file:
```
TbCeHo6
1.0
-2.023 6.365 0.796
-5.142 -1.077 -3.736
-5.357 1.416 4.176
Ho Tb Ce
6 1 1
Direct
0.452 0.251 0.000
0.427 0.271 0.477
0.093 0.766 0.480
0.573 0.729 0.523
0.907 0.234 0.520
0.548 0.749 0.000
0.000 0.000 0.000
0.000 0.500 0.000
```

## Properties
**Relative energy among the computed polymorphs**: 0.181 eV per atom
**Energy of formation**: 225 meV/atom

---

First-principles (GGA-PBE) data for Tb2CeHo after structural relaxation, as listed in the Alexandria database.

POSCAR file:
```
Tb2CeHo
1.0
10.603 3.792 0.928
5.686 7.398 1.720
2.814 2.731 5.112
Tb Ce Ho
4 2 2
Direct
0.750 0.903 0.824
0.250 0.727 0.176
0.750 0.273 0.824
0.250 0.097 0.176
0.500 0.000 0.500
0.000 0.500 0.500
0.250 0.590 0.821
0.750 0.410 0.179
```

## Properties
**Relative energy among the computed polymorphs**: 0.133 eV per atom
**Energy of formation**: 189 meV/atom

---

First-principles (GGA-PBE) data for TbCe2Ho7 after structural relaxation, as listed in the Alexandria database.

POSCAR file:
```
TbCe2Ho7
1.0
-2.722 2.077 4.148
-8.674 -0.463 1.514
5.448 -6.812 3.505
Tb Ho Ce
1 7 2
Direct
0.000 0.000 0.000
0.749 0.644 0.786
0.500 0.500 0.000
0.251 0.142 0.786
0.000 0.798 0.596
0.251 0.356 0.214
0.000 0.202 0.404
0.749 0.858 0.214
0.500 0.698 0.397
0.500 0.302 0.603
```

## Properties
**Energy of formation**: 103 meV/atom

---

First-principles (GGA-PBE) data for Tb4CeHo2 after structural relaxation, as listed in the Alexandria database.

POSCAR file:
```
Tb4CeHo2
1.0
3.568 0.000 0.000
-1.784 3.083 -0.265
0.000 -0.387 20.135
Ho Tb Ce
2 4 1
Direct
0.712 0.423 0.380
0.623 0.246 0.096
0.999 0.999 0.238
0.525 0.051 0.811
0.906 0.812 0.954
0.430 0.859 0.522
0.807 0.613 0.666
```

## Properties
**Relative energy among the computed polymorphs**: 0.000 eV per atom
**Energy of formation**: 39 meV/atom

---

First-principles (GGA-PBE) data for TbCeHo after structural relaxation, as listed in the Alexandria database.

POSCAR file:
```
TbCeHo
1.0
4.923 0.000 -0.728
0.000 4.964 0.000
-2.737 0.000 15.488
Tb Ce Ho
4 4 4
Direct
0.588 0.250 0.837
0.413 0.750 0.663
0.587 0.250 0.337
0.412 0.750 0.163
0.250 0.250 0.500
0.750 0.750 0.500
0.250 0.250 0.000
0.750 0.750 0.000
0.087 0.750 0.837
0.913 0.250 0.163
0.086 0.750 0.336
0.914 0.250 0.664
```

## Properties
**Relative energy among the computed polymorphs**: 0.008 eV per atom
**Energy of formation**: 72 meV/atom

---

First-principles (GGA-PBE) data for Tb15Ce2Ho2 after structural relaxation, as listed in the Alexandria database.

POSCAR file:
```
Tb15Ce2Ho2
1.0
8.396 -0.558 2.289
1.602 8.260 2.289
-0.725 -0.558 8.672
Tb Ho Ce
15 2 2
Direct
0.697 0.000 0.303
0.000 0.697 0.303
0.631 0.631 0.149
0.697 0.303 0.000
0.303 0.697 0.000
0.000 0.500 0.000
0.851 0.369 0.369
0.369 0.851 0.369
0.000 0.000 0.500
0.149 0.631 0.631
0.631 0.149 0.631
0.369 0.369 0.851
0.500 0.000 0.000
0.303 0.000 0.697
0.000 0.303 0.697
0.682 0.682 0.682
0.318 0.318 0.318
0.925 0.925 0.925
0.075 0.075 0.075
```

## Properties
**Energy of formation**: 301 meV/atom

---

First-principles (GGA-PBE) data for Tb6CeHo3 after structural relaxation, as listed in the Alexandria database.

POSCAR file:
```
Tb6CeHo3
1.0
6.114 0.000 0.000
0.000 10.801 -1.555
0.000 -3.926 10.182
Tb Ho Ce
12 6 2
Direct
0.033 0.709 0.619
0.880 0.457 0.037
0.128 0.722 0.278
0.880 0.963 0.543
0.380 0.543 0.963
0.533 0.619 0.709
0.033 0.381 0.291
0.628 0.278 0.722
0.533 0.291 0.381
0.426 0.952 0.048
0.926 0.048 0.952
0.380 0.037 0.457
0.456 0.941 0.719
0.067 0.386 0.614
0.956 0.719 0.941
0.567 0.614 0.386
0.456 0.281 0.059
0.956 0.059 0.281
0.127 0.206 0.794
0.627 0.794 0.206
```

## Properties
**Relative energy among the computed polymorphs**: 0.000 eV per atom
**Energy of formation**: 162 meV/atom

---

First-principles (GGA-PBE) data for Tb8CeHo2 after structural relaxation, as listed in the Alexandria database.

POSCAR file:
```
Tb8CeHo2
1.0
-3.685 -0.044 3.410
-2.445 -7.045 -2.734
7.869 -1.899 4.782
Tb Ho Ce
8 2 1
Direct
0.955 0.269 0.910
0.319 0.091 0.639
0.864 0.818 0.728
0.409 0.546 0.818
0.045 0.731 0.090
0.591 0.454 0.182
0.681 0.909 0.361
0.136 0.182 0.272
0.772 0.363 0.543
0.228 0.637 0.457
0.500 0.000 0.000
```

## Properties
**Energy of formation**: 36 meV/atom

---

First-principles (GGA-PBE) data for TbCeHo after structural relaxation, as listed in the Alexandria database.

POSCAR file:
```
TbCeHo
1.0
5.343 0.015 -0.001
-0.009 3.451 0.000
0.007 -1.724 9.998
Tb Ce Ho
2 2 2
Direct
0.847 0.953 0.327
0.347 0.037 0.497
0.847 0.786 0.994
0.347 0.204 0.830
0.347 0.376 0.174
0.847 0.614 0.650
```

## Properties
**Relative energy among the computed polymorphs**: 0.028 eV per atom
**Energy of formation**: 92 meV/atom

---

First-principles (GGA-PBE) data for TbCeHo5 after structural relaxation, as listed in the Alexandria database.

POSCAR file:
```
TbCeHo5
1.0
-5.385 -1.402 3.484
1.424 -8.516 -3.466
4.875 3.934 6.879
Ho Ce Tb
10 2 2
Direct
0.250 0.797 0.203
0.109 0.492 0.786
0.609 0.786 0.492
0.891 0.508 0.214
0.391 0.214 0.508
0.157 0.948 0.624
0.843 0.052 0.376
0.343 0.376 0.052
0.750 0.203 0.797
0.657 0.624 0.948
0.750 0.484 0.516
0.250 0.516 0.484
0.500 0.000 0.000
0.000 0.000 0.000
```

## Properties
**Energy of formation**: 203 meV/atom